Sc6AuSe3S2 GGA-PBE optimized geometry; space group = No. 12; crystal system = monoclinic; total magnetization = 0.0 Bohr magnetons per cell; E_form (uncorrected) = -1.547 eV per atom
1.0
-3.3161 -0.6864 5.7049
6.5015 -1.2983 -0.2413
0.1765 6.6084 -0.3886
Sc Se S Au
6 3 2 1
direct
0.9217 0.5736 0.7612
0.0783 0.4264 0.2388
0.2684 0.2684 0.7641
0.4264 0.0783 0.2388
0.5736 0.9217 0.7612
0.7316 0.7316 0.2359
0.5000 0.5000 0.5000
0.1635 0.8365 0.5000
0.8365 0.1635 0.5000
0.3337 0.6663 0.0000
0.6663 0.3337 0.0000
0.0000 0.0000 0.0000

Sc4SnAuS GGA-PBE optimized geometry; space group = No. 63; crystal system = orthorhombic; total magnetization = 0.0 Bohr magnetons per cell; E_form (uncorrected) = -0.831 eV per atom
1.0
6.6831 0.0000 0.0000
0.0000 6.7051 0.0000
-3.3416 0.0000 7.1776
S Sc Au Sn
2 8 2 2
direct
0.2384 0.7500 0.4768
0.7616 0.2500 0.5232
0.5000 0.0000 0.5000
0.0000 0.0000 0.5000
0.0000 0.5000 0.5000
0.4154 0.7500 0.8307
0.0611 0.7500 0.1222
0.9389 0.2500 0.8778
0.5846 0.2500 0.1693
0.5000 0.5000 0.5000
0.8728 0.7500 0.7455
0.1272 0.2500 0.2545
0.3847 0.2500 0.7695
0.6153 0.7500 0.2305

Sr2ScAuS GGA-PBE optimized geometry; space group = No. 123; crystal system = tetragonal; total magnetization = 0.0 Bohr magnetons per cell; E_form (uncorrected) = -0.335 eV per atom
1.0
-0.5338 5.6235 -1.9154
-4.5502 0.3293 2.2351
2.5983 1.9504 5.0022
Sc Sr S Au
1 2 1 1
direct
0.0000 0.5000 0.0000
0.5000 0.0000 0.0000
0.0000 0.0000 0.5000
0.5000 0.5000 0.5000
0.0000 0.0000 0.0000

ScTlAuS2 GGA-PBE optimized geometry; space group = No. 13; crystal system = monoclinic; total magnetization = 0.0 Bohr magnetons per cell; E_form (uncorrected) = -0.836 eV per atom
1.0
5.4922 0.0000 0.0000
0.0000 6.9315 0.1156
0.0000 -1.9757 6.5334
Au S Sc Tl
2 4 2 2
direct
0.0000 0.0000 0.0000
0.0000 0.0000 0.5000
0.6729 0.7622 0.9357
0.3271 0.7622 0.4357
0.3271 0.2378 0.0643
0.6729 0.2378 0.5643
0.4960 0.0000 0.2500
0.5040 0.0000 0.7500
0.8097 0.5000 0.2500
0.1903 0.5000 0.7500

ScVAu2S GGA-PBE optimized geometry; space group = No. 123; crystal system = tetragonal; total magnetization = 3.5 Bohr magnetons per cell; E_form (uncorrected) = 0.243 eV per atom
1.0
4.7684 0.0000 0.0000
0.0000 4.6566 0.0000
0.0000 0.0000 4.7684
Au S V Sc
2 1 1 1
direct
0.5000 0.0000 0.0000
0.0000 0.0000 0.5000
0.0000 0.0000 0.0000
0.5000 0.5000 0.5000
0.0000 0.5000 0.0000

AuSeS3 GGA-PBE optimized geometry; space group = No. 221; crystal system = cubic; total magnetization = 0.0 Bohr magnetons per cell; E_form (uncorrected) = 0.985 eV per atom
1.0
4.7995 0.0000 0.0000
0.0000 4.7995 0.0000
0.0000 0.0000 4.7995
Au S Se
1 3 1
direct
0.0000 0.0000 0.0000
0.0000 0.5000 0.0000
0.0000 0.0000 0.5000
0.5000 0.0000 0.0000
0.5000 0.5000 0.5000